Record 1
This record from the Alexandria database describes a relaxed structure of RbSrSeN2. The functional is GGA-PBEsol.

a = 4.918 Å, b = 4.918 Å, c = 6.290 Å
α = 90.00°, β = 90.00°, γ = 90.00°
Fractional positions:
Rb 0.000 0.000 0.000
Sr 0.500 0.500 0.500
Se 0.000 0.000 0.500
N 0.000 0.500 0.000
N 0.500 0.000 0.000

Final energy in eV per atom: -3.5170
Symmetry: P4/mmm (123)
Magnetization in μB/f.u.: 5.001


Record 2
This record from the Alexandria database describes a relaxed structure of RbYSe2N. The functional is GGA-PBEsol.

a = 5.530 Å, b = 5.530 Å, c = 4.603 Å
α = 90.00°, β = 90.00°, γ = 90.00°
Fractional positions:
Rb 0.000 0.000 0.000
Y 0.500 0.500 0.500
Se 0.000 0.500 0.500
Se 0.500 0.000 0.500
N 0.500 0.500 0.000

Final energy in eV per atom: -5.2705
Symmetry: P4/mmm (123)
Magnetization in μB/f.u.: 2.700


Record 3
This record from the Alexandria database describes a relaxed structure of RbZrSeN2. The functional is GGA-PBEsol.

a = 4.121 Å, b = 4.121 Å, c = 5.578 Å
α = 90.00°, β = 90.00°, γ = 90.00°
Fractional positions:
Rb 0.000 0.000 0.000
Zr 0.500 0.500 0.500
Se 0.000 0.000 0.500
N 0.000 0.500 0.000
N 0.500 0.000 0.000

Final energy in eV per atom: -4.2556
Symmetry: P4/mmm (123)
Magnetization in μB/f.u.: 0.001


Record 4
This record from the Alexandria database describes a relaxed structure of Rb2SiN. The functional is GGA-PBEsol.

a = 12.305 Å, b = 12.305 Å, c = 3.563 Å
α = 90.00°, β = 90.00°, γ = 90.00°
Fractional positions:
Rb 0.018 0.750 0.125
Rb 0.250 0.018 0.875
Rb 0.250 0.482 0.375
Rb 0.482 0.750 0.625
Rb 0.518 0.250 0.625
Rb 0.750 0.518 0.375
Rb 0.750 0.982 0.875
Rb 0.982 0.250 0.125
Si 0.000 0.000 0.500
Si 0.000 0.500 0.750
Si 0.500 0.000 0.250
Si 0.500 0.500 0.000
N 0.000 0.000 0.000
N 0.000 0.500 0.250
N 0.500 0.000 0.750
N 0.500 0.500 0.500

Final energy in eV per atom: -3.9304
Symmetry: I-42d (122)
Magnetization in μB/f.u.: 0.446


Record 5
This record from the Alexandria database describes a relaxed structure of RbTaTe2N. The functional is GGA-PBEsol.

a = 5.726 Å, b = 5.726 Å, c = 3.920 Å
α = 90.00°, β = 90.00°, γ = 90.00°
Fractional positions:
Rb 0.000 0.000 0.000
Ta 0.500 0.500 0.500
Te 0.000 0.500 0.500
Te 0.500 0.000 0.500
N 0.500 0.500 0.000

Final energy in eV per atom: -6.1251
Symmetry: P4/mmm (123)
Magnetization in μB/f.u.: 0.001


Record 6
This record from the Alexandria database describes a relaxed structure of RbTaW2N. The functional is GGA-PBEsol.

a = 4.061 Å, b = 4.061 Å, c = 5.067 Å
α = 90.00°, β = 90.00°, γ = 90.00°
Fractional positions:
Rb 0.000 0.000 0.000
Ta 0.500 0.500 0.000
W 0.000 0.500 0.500
W 0.500 0.000 0.500
N 0.000 0.000 0.500

Final energy in eV per atom: -8.7524
Symmetry: P4/mmm (123)
Magnetization in μB/f.u.: 0.007


Record 7
This record from the Alexandria database describes a relaxed structure of RbTe2WN. The functional is GGA-PBEsol.

a = 5.596 Å, b = 5.596 Å, c = 3.857 Å
α = 90.00°, β = 90.00°, γ = 90.00°
Fractional positions:
Rb 0.000 0.000 0.000
Te 0.000 0.500 0.500
Te 0.500 0.000 0.500
W 0.500 0.500 0.500
N 0.500 0.500 0.000

Final energy in eV per atom: -6.1317
Symmetry: P4/mmm (123)
Magnetization in μB/f.u.: 0.000


Record 8
This record from the Alexandria database describes a relaxed structure of RbTiN3. The functional is GGA-PBEsol.

a = 4.062 Å, b = 4.062 Å, c = 4.062 Å
α = 90.00°, β = 90.00°, γ = 90.00°
Fractional positions:
Rb 0.000 0.000 0.000
Ti 0.500 0.500 0.500
N 0.000 0.000 0.500
N 0.000 0.500 0.000
N 0.500 0.000 0.000

Final energy in eV per atom: -4.2036
Symmetry: Pm-3m (221)
Magnetization in μB/f.u.: 0.012


Question: Which value of magnetization does entry 8 give?
Answer: 0.012 μB/f.u.


Question: Which value of magnetization does entry 6 give?
Answer: 0.007 μB/f.u.